# GGA-PBE Mn2SbAu, relaxed
# Formation energy (no corrections) = 0.138 eV/atom
# Magnetization = 7.291 Bohr magnetons per cell
data_Mn2SbAu
_cell_length_a 3.550
_cell_length_b 3.486
_cell_length_c 6.706
_cell_angle_alpha 58.69
_cell_angle_beta 90.00
_cell_angle_gamma 90.00
_space_group_name_H-M_alt 'P 1'
_space_group_IT_number 1
loop_
_space_group_symop_operation_xyz
'x,y,z'
loop_
_atom_site_label
_atom_site_type_symbol
_atom_site_fract_x
_atom_site_fract_y
_atom_site_fract_z
Mn1 Mn 0.000 0.498 0.502
Mn2 Mn 0.000 0.002 0.998
Sb1 Sb 0.500 0.250 0.250
Au1 Au 0.500 0.750 0.750

=====

# GGA-PBE Ac8P3RuBr4, relaxed
# Formation energy (no corrections) = -1.277 eV/atom
# Magnetization = 0.000 Bohr magnetons per cell
data_Ac8P3RuBr4
_cell_length_a 8.865
_cell_length_b 9.245
_cell_length_c 8.866
_cell_angle_alpha 118.66
_cell_angle_beta 120.00
_cell_angle_gamma 90.00
_space_group_name_H-M_alt 'P 1'
_space_group_IT_number 1
loop_
_space_group_symop_operation_xyz
'x,y,z'
loop_
_atom_site_label
_atom_site_type_symbol
_atom_site_fract_x
_atom_site_fract_y
_atom_site_fract_z
Ac1 Ac 0.230 0.705 0.460
Ac2 Ac 0.230 0.705 0.975
Ac3 Ac 0.737 0.711 0.474
Ac4 Ac 0.770 0.295 0.540
Ac5 Ac 0.745 0.705 0.975
Ac6 Ac 0.255 0.295 0.025
Ac7 Ac 0.770 0.295 0.025
Ac8 Ac 0.263 0.289 0.526
P1 P 0.500 0.500 0.000
P2 P 0.500 0.500 0.500
P3 P 0.000 0.500 0.500
Br1 Br 0.000 0.000 0.000
Br2 Br 0.000 0.000 0.500
Br3 Br 0.500 0.000 0.000
Br4 Br 0.500 0.000 0.500
Ru1 Ru 0.000 0.500 0.000

=====

# GGA-PBE Ac6TlRu2Br3, relaxed
# Formation energy (no corrections) = -0.848 eV/atom
# Magnetization = 0.000 Bohr magnetons per cell
data_Ac6TlRu2Br3
_cell_length_a 7.748
_cell_length_b 7.748
_cell_length_c 8.643
_cell_angle_alpha 98.61
_cell_angle_beta 98.61
_cell_angle_gamma 120.00
_space_group_name_H-M_alt 'P 1'
_space_group_IT_number 1
loop_
_space_group_symop_operation_xyz
'x,y,z'
loop_
_atom_site_label
_atom_site_type_symbol
_atom_site_fract_x
_atom_site_fract_y
_atom_site_fract_z
Ac1 Ac 0.067 0.438 0.201
Ac2 Ac 0.697 0.697 0.201
Ac3 Ac 0.438 0.067 0.201
Ac4 Ac 0.933 0.562 0.799
Ac5 Ac 0.303 0.303 0.799
Ac6 Ac 0.562 0.933 0.799
Br1 Br 0.500 0.500 0.500
Br2 Br 0.165 0.835 0.500
Br3 Br 0.835 0.165 0.500
Ru1 Ru 0.333 0.667 0.000
Ru2 Ru 0.667 0.333 0.000
Tl1 Tl 0.000 0.000 0.000

=====

# GGA-PBE NaTbNd2S4, relaxed
# Formation energy (no corrections) = -1.912 eV/atom
# Magnetization = 0.000 Bohr magnetons per cell
data_NaTbNd2S4
_cell_length_a 4.016
_cell_length_b 6.976
_cell_length_c 6.980
_cell_angle_alpha 109.22
_cell_angle_beta 90.00
_cell_angle_gamma 90.00
_space_group_name_H-M_alt 'P 1'
_space_group_IT_number 1
loop_
_space_group_symop_operation_xyz
'x,y,z'
loop_
_atom_site_label
_atom_site_type_symbol
_atom_site_fract_x
_atom_site_fract_y
_atom_site_fract_z
S1 S 0.500 0.254 0.245
S2 S 0.000 0.256 0.761
S3 S 0.500 0.746 0.755
S4 S 0.000 0.744 0.239
Nd1 Nd 0.500 0.000 0.500
Nd2 Nd 0.000 0.500 0.500
Na1 Na 0.000 0.000 0.000
Tb1 Tb 0.500 0.500 0.000

=====

# GGA-PBE NdIn2Sn, relaxed
# Magnetization = 0.000 Bohr magnetons per cell
# Excess energy over the best structure of this formula in the dataset = 0.284 eV per atom
# ΔH_f (0 K) = -208 meV/atom
data_NdIn2Sn
_cell_length_a 5.082
_cell_length_b 5.082
_cell_length_c 5.904
_cell_angle_alpha 64.51
_cell_angle_beta 64.51
_cell_angle_gamma 60.00
_space_group_name_H-M_alt 'P 1'
_space_group_IT_number 1
loop_
_space_group_symop_operation_xyz
'x,y,z'
loop_
_atom_site_label
_atom_site_type_symbol
_atom_site_fract_x
_atom_site_fract_y
_atom_site_fract_z
Sn1 Sn 0.000 0.000 0.000
Nd1 Nd 0.500 0.500 0.500
In1 In 0.734 0.734 0.798
In2 In 0.266 0.266 0.202

=====

- Number 1 is which compound?
  Mn2SbAu

=====

- Which value of magnetization does entry 1 give?
  7.291 Bohr magnetons per cell

=====

- What is the magnetization in the fifth record?
  0.000 Bohr magnetons per cell